1.
## PrSmSi2Ag2 (PBE)

Data for a relaxed structure of PrSmSi2Ag2.

## Properties
Its mass density is 7.0 g/cm³. The magnetization comes out at 0.00 μB/cell. As for the space group: P3m1. The uncorrected energy comes out at -4.874 eV/atom.

a = 4.4777 Å, b = 4.4777 Å, c = 7.6601 Å
α = 90.00°, β = 90.00°, γ = 120.00°
Sites, in units of the cell vectors:
Si1 0.6667 0.3333 0.0458
Si2 0.3333 0.6667 0.5336
Ag1 0.3333 0.6667 0.0029
Ag2 0.6667 0.3333 0.4816
Pr1 0.0000 0.0000 0.7577
Sm1 0.0000 0.0000 0.2593

***

2.
## PrSmAg (PBE)

Data for a relaxed structure of PrSmAg.

## Properties
Its mass density is 7.4 g/cm³. For the energy of formation from the pure elements, the calculation gives 0.442 eV per atom. The magnetization comes out at 0.01 μB/cell. As for the space group: F-43m. The uncorrected energy comes out at -3.661 eV/atom.

a = 5.0305 Å, b = 5.0305 Å, c = 5.0305 Å
α = 60.00°, β = 60.00°, γ = 60.00°
Sites, in units of the cell vectors:
Sm1 0.0000 0.0000 0.0000
Ag1 0.2500 0.2500 0.2500
Pr1 0.7500 0.7500 0.7500

***

3.
## PrSm2Ag4Sn4 (PBE)

Data for a relaxed structure of PrSm2Ag4Sn4.

## Properties
Its mass density is 8.4 g/cm³. The magnetization comes out at 0.00 μB/cell. As for the space group: Immm. The uncorrected energy comes out at -4.325 eV/atom.

a = 8.9127 Å, b = 8.9127 Å, c = 8.9127 Å
α = 149.79°, β = 130.75°, γ = 58.87°
Sites, in units of the cell vectors:
Sn1 0.7166 0.2166 0.5000
Sn2 0.1936 0.5000 0.6936
Sn3 0.8064 0.5000 0.3064
Sn4 0.2834 0.7834 0.5000
Ag1 0.1341 0.3298 0.8043
Ag2 0.8659 0.6702 0.1957
Ag3 0.5256 0.3298 0.1957
Ag4 0.4744 0.6702 0.8043
Sm1 0.1283 0.1283 0.0000
Sm2 0.8717 0.8717 0.0000
Pr1 0.5000 0.0000 0.5000

***

4.
## PrSmAgTe3 (PBE)

Data for a relaxed structure of PrSmAgTe3.

## Properties
Its mass density is 7.1 g/cm³. The magnetization comes out at 0.05 μB/cell. As for the space group: Cmcm. The uncorrected energy comes out at -4.703 eV/atom.

a = 7.6854 Å, b = 7.6854 Å, c = 11.4938 Å
α = 90.00°, β = 90.00°, γ = 147.57°
Sites, in units of the cell vectors:
Te1 0.3930 0.6070 0.7500
Te2 0.8473 0.1527 0.0676
Te3 0.1527 0.8473 0.9324
Te4 0.1527 0.8473 0.5676
Te5 0.6070 0.3930 0.2500
Te6 0.8473 0.1527 0.4324
Ag1 0.0251 0.9749 0.7500
Ag2 0.9749 0.0251 0.2500
Pr1 0.5000 0.5000 0.5000
Pr2 0.5000 0.5000 0.0000
Sm1 0.2747 0.7253 0.2500
Sm2 0.7253 0.2747 0.7500

***

5.
## PrAgSn (PBE)

Data for a relaxed structure of PrAgSn.

## Properties
Its mass density is 7.9 g/cm³. The magnetization comes out at 0.00 μB/cell. As for the space group: P6_3mc. The uncorrected energy comes out at -4.495 eV/atom.

a = 4.8288 Å, b = 4.8288 Å, c = 7.6586 Å
α = 90.00°, β = 90.00°, γ = 120.00°
Sites, in units of the cell vectors:
Pr1 0.0000 0.0000 0.2434
Pr2 0.0000 0.0000 0.7434
Ag1 0.3333 0.6667 0.0417
Ag2 0.6667 0.3333 0.5417
Sn1 0.6667 0.3333 0.9649
Sn2 0.3333 0.6667 0.4649

***

6.
## TbPrAg2Sn2 (PBE)

Data for a relaxed structure of TbPrAg2Sn2.

## Properties
Its mass density is 8.4 g/cm³. The magnetization comes out at 0.00 μB/cell. As for the space group: P3m1. The uncorrected energy comes out at -4.460 eV/atom.

a = 4.7772 Å, b = 4.7772 Å, c = 7.5170 Å
α = 90.00°, β = 90.00°, γ = 120.00°
Sites, in units of the cell vectors:
Ag1 0.6667 0.3333 0.4458
Ag2 0.3333 0.6667 0.9631
Tb1 0.0000 0.0000 0.2591
Sn1 0.3333 0.6667 0.5312
Sn2 0.6667 0.3333 0.0430
Pr1 0.0000 0.0000 0.7578

***

7.
## PrAgSnTe3 (PBE)

Data for a relaxed structure of PrAgSnTe3.

## Properties
The offset from the most stable computed form comes out at 0.12 eV/f.u. Its mass density is 6.9 g/cm³. The magnetization comes out at 0.01 μB/cell. As for the space group: Pnma. The uncorrected energy comes out at -4.168 eV/atom.

a = 12.5065 Å, b = 4.5496 Å, c = 12.7787 Å
α = 90.00°, β = 90.00°, γ = 90.00°
Sites, in units of the cell vectors:
Sn1 0.6937 0.0000 0.5219
Sn2 0.8063 0.5000 0.0219
Sn3 0.1937 0.0000 0.9781
Sn4 0.3063 0.5000 0.4781
Te1 0.0325 0.5000 0.8758
Te2 0.9009 0.5000 0.5597
Te3 0.5992 0.0000 0.0597
Te4 0.7094 0.5000 0.3306
Te5 0.4675 0.0000 0.3758
Te6 0.0991 0.0000 0.4403
Te7 0.5325 0.5000 0.6242
Te8 0.2094 0.5000 0.1694
Te9 0.9675 0.0000 0.1242
Te10 0.2906 0.0000 0.6694
Te11 0.4008 0.5000 0.9403
Te12 0.7906 0.0000 0.8306
Ag1 0.7641 0.0000 0.2129
Ag2 0.2359 0.5000 0.7870
Ag3 0.7359 0.5000 0.7130
Ag4 0.2641 0.0000 0.2871
Pr1 0.5269 0.0000 0.8081
Pr2 0.9731 0.5000 0.3081
Pr3 0.0269 0.0000 0.6919
Pr4 0.4731 0.5000 0.1919

***

8.
## PrAgSnTe3 (PBE)

Data for a relaxed structure of PrAgSnTe3.

## Properties
The offset from the most stable computed form comes out at 0.00 eV/f.u. Its mass density is 6.7 g/cm³. The magnetization comes out at 0.00 μB/cell. As for the space group: Cmcm. The uncorrected energy comes out at -4.187 eV/atom.

a = 7.7481 Å, b = 7.7481 Å, c = 11.4820 Å
α = 90.00°, β = 90.00°, γ = 147.32°
Sites, in units of the cell vectors:
Te1 0.9018 0.0982 0.7500
Te2 0.3492 0.6508 0.4349
Te3 0.6508 0.3492 0.9349
Te4 0.0982 0.9018 0.2500
Te5 0.6508 0.3492 0.5651
Te6 0.3492 0.6508 0.0651
Pr1 0.0000 0.0000 0.5000
Pr2 0.0000 0.0000 0.0000
Ag1 0.4742 0.5258 0.2500
Ag2 0.5258 0.4742 0.7500
Sn1 0.7693 0.2307 0.2500
Sn2 0.2307 0.7693 0.7500

***

9.
## Pr2YAg4Sn4 (PBE)

Data for a relaxed structure of Pr2YAg4Sn4.

## Properties
Its mass density is 7.9 g/cm³. The magnetization comes out at 0.02 μB/cell. As for the space group: Immm. The uncorrected energy comes out at -4.481 eV/atom.

a = 8.9192 Å, b = 8.9192 Å, c = 8.9192 Å
α = 149.49°, β = 131.44°, γ = 58.44°
Sites, in units of the cell vectors:
Sn1 0.2135 0.2135 0.0000
Sn2 0.3003 0.5000 0.8003
Sn3 0.6997 0.5000 0.1997
Sn4 0.7865 0.7865 0.0000
Ag1 0.6344 0.3297 0.3047
Ag2 0.0250 0.3297 0.6953
Ag3 0.3656 0.6703 0.6953
Ag4 0.9750 0.6703 0.3047
Y1 0.0000 0.0000 0.0000
Pr1 0.6290 0.1290 0.5000
Pr2 0.3709 0.8710 0.5000

***

10.
## PrY2Ag4Sn4 (PBE)

Data for a relaxed structure of PrY2Ag4Sn4.

## Properties
Its mass density is 7.7 g/cm³. The magnetization comes out at 0.04 μB/cell. As for the space group: Immm. The uncorrected energy comes out at -4.624 eV/atom.

a = 8.8649 Å, b = 8.8649 Å, c = 8.8649 Å
α = 150.04°, β = 130.18°, γ = 59.23°
Sites, in units of the cell vectors:
Pr1 0.0000 0.0000 0.0000
Ag1 0.0263 0.3293 0.6970
Ag2 0.6324 0.3293 0.3030
Ag3 0.9737 0.6707 0.3030
Ag4 0.3676 0.6707 0.6970
Sn1 0.7822 0.7822 0.0000
Sn2 0.6911 0.5000 0.1911
Sn3 0.2178 0.2178 0.0000
Sn4 0.3089 0.5000 0.8089
Y1 0.6279 0.1279 0.5000
Y2 0.3721 0.8721 0.5000

***

11.
## PrTaAg (PBE)

Data for a relaxed structure of PrTaAg.

## Properties
Its mass density is 8.6 g/cm³. For the energy of formation from the pure elements, the calculation gives 1.438 eV per atom. The magnetization comes out at 1.94 μB/cell. As for the space group: F-43m. The uncorrected energy comes out at -5.046 eV/atom.

a = 4.9037 Å, b = 4.9037 Å, c = 4.9037 Å
α = 60.00°, β = 60.00°, γ = 60.00°
Sites, in units of the cell vectors:
Ta1 0.7500 0.7500 0.7500
Pr1 0.0000 0.0000 0.0000
Ag1 0.2500 0.2500 0.2500

***

12.
## Pr2AgTe3 (PBE)

Data for a relaxed structure of Pr2AgTe3.

## Properties
The offset from the most stable computed form comes out at 0.00 eV/f.u. Its mass density is 7.0 g/cm³. The magnetization comes out at 0.00 μB/cell. As for the space group: Pnma. The uncorrected energy comes out at -4.741 eV/atom.

a = 11.4588 Å, b = 4.3304 Å, c = 14.8463 Å
α = 90.00°, β = 90.00°, γ = 90.00°
Sites, in units of the cell vectors:
Ag1 0.2603 0.7500 0.7248
Ag2 0.7603 0.7500 0.7752
Ag3 0.7397 0.2500 0.2752
Ag4 0.2397 0.2500 0.2248
Pr1 0.2346 0.7500 0.0210
Pr2 0.4879 0.7500 0.2489
Pr3 0.2654 0.2500 0.5210
Pr4 0.7346 0.7500 0.4790
Pr5 0.9879 0.7500 0.2511
Pr6 0.5121 0.2500 0.7511
Pr7 0.7654 0.2500 0.9790
Pr8 0.0121 0.2500 0.7489
Te1 0.5791 0.7500 0.9023
Te2 0.9485 0.7500 0.9003
Te3 0.7612 0.2500 0.6464
Te4 0.9209 0.2500 0.4023
Te5 0.4485 0.7500 0.5997
Te6 0.7388 0.7500 0.1464
Te7 0.4209 0.2500 0.0977
Te8 0.0791 0.7500 0.5977
Te9 0.2388 0.7500 0.3536
Te10 0.0515 0.2500 0.0997
Te11 0.2612 0.2500 0.8536
Te12 0.5515 0.2500 0.4003